! TbVF2 | Alexandria | PBE with a Hubbard U | relaxed; values from VASP
&SYSTEM
  ibrav = 0, nat = 4, ntyp = 3
/
ATOMIC_SPECIES
Tb 158.93 Tb.upf
V 50.94 V.upf
F 19.00 F.upf
CELL_PARAMETERS angstrom
3.586 0.000 0.000
1.793 3.106 0.000
1.793 1.035 6.265
ATOMIC_POSITIONS crystal
Tb 0.000 0.000 0.000
V 0.500 0.500 0.500
F 0.874 0.874 0.379
F 0.126 0.126 0.621
! Magnetic moment: 1.66 μB/cell
! Electronic total energy: -22.9 eV per cell
! Fermi-level density of states: 1.78 states/eV/f.u.